{"formula": "RbNiAsF2", "functional": "PBE with a Hubbard U", "state": "optimized geometry", "final_energy_ev_per_atom": -2.439, "total_magnetization_mub_per_cell": 0.0, "dos_ef_per_ev_atom": 0.011, "cell": [[4.172, 0.000, 0.000], [0.000, 4.172, 0.000], [0.000, 0.000, 7.082]], "species": ["Rb", "Ni", "As", "F", "F"], "fractional_positions": [[0.000, 0.000, 0.000], [0.500, 0.500, 0.000], [0.000, 0.000, 0.500], [0.000, 0.500, 0.500], [0.500, 0.000, 0.500]]}